# Mn7Os6

A crystal of Mn7Os6 relaxed with PBEsol (SCAN, the Alexandria database).

DOS at the Fermi energy (states/eV/f.u.): 11.439
E_form (kJ/mol of atoms): 3.5
SG: R-3m
Uncorrected energy (eV per cell): -558.59
ρ (g cm⁻³): 16.297

Unit cell a=4.5941 b=4.5941 c=8.9101 alpha=75.06 beta=75.06 gamma=60.00
Closest atoms and distances in Å follow each position.
Positions (direct):
Mn1 0.9139 0.4072 0.2717  5 Mn 2.27-2.36, 2 Os 2.54
Mn2 0.5928 0.5928 0.7283  5 Mn 2.27-2.36, 2 Os 2.54
Mn3 0.5000 0.5000 0.5000  6 Mn 2.36
Mn4 0.5928 0.0861 0.7283  5 Mn 2.27-2.36, 2 Os 2.54
Mn5 0.4072 0.4072 0.2717  5 Mn 2.27-2.36, 2 Os 2.54
Mn6 0.0861 0.5928 0.7283  5 Mn 2.27-2.36, 2 Os 2.54
Mn7 0.4072 0.9139 0.2717  5 Mn 2.27-2.36, 2 Os 2.54
Os1 0.3370 0.3370 0.9890  6 Mn 2.59-2.74, 6 Os 2.66-2.89
Os2 0.1518 0.1518 0.5446  4 Os 2.64-2.76, 12 Mn 2.67-2.78
Os3 0.6630 0.6630 0.0110  6 Mn 2.59-2.74, 6 Os 2.66-2.89
Os4 0.0484 0.0484 0.8547  2 Os 2.47-2.64, 6 Mn 2.54
Os5 0.8482 0.8482 0.4554  4 Os 2.64-2.76, 12 Mn 2.67-2.78
Os6 0.9516 0.9516 0.1453  2 Os 2.47-2.64, 6 Mn 2.54

***

# Mn3Os

A crystal of Mn3Os relaxed with PBEsol (SCAN, the Alexandria database).

DOS at the Fermi energy (states/eV/f.u.): 3.317
E_form (kJ/mol of atoms): 1.2
SG: C2/m
Uncorrected energy (eV per cell): -126.59
ρ (g cm⁻³): 12.797

Unit cell a=2.5614 b=4.3677 c=4.3791 alpha=99.92 beta=90.00 gamma=107.05
Closest atoms and distances in Å follow each position.
Positions (direct):
Mn1 0.7464 0.4929 0.7353  9 Mn 2.44-2.64, 3 Os 2.54-2.57
Mn2 0.2536 0.5071 0.2647  9 Mn 2.44-2.64, 3 Os 2.54-2.57
Mn3 0.0000 0.0000 0.5000  8 Mn 2.48-2.56, 4 Os 2.54
Os1 0.5000 0.0000 0.0000  10 Mn 2.54-2.57, 2 Os 2.56

***

# MnOs

A crystal of MnOs relaxed with PBEsol (SCAN, the Alexandria database).

DOS at the Fermi energy (states/eV/f.u.): 2.150
E_form (kJ/mol of atoms): 81.4
SG: P6_3/mmc
Uncorrected energy (eV per cell): -176.90
ρ (g cm⁻³): 14.815

Unit cell a=3.7559 b=3.7559 c=4.4985 alpha=90.00 beta=90.00 gamma=120.00
Closest atoms and distances in Å follow each position.
Positions (direct):
Os1 0.6667 0.3333 0.7500  6 Mn 2.44
Os2 0.3333 0.6667 0.2500  6 Mn 2.44
Mn1 0.0000 0.0000 0.0000  2 Mn 2.25, 6 Os 2.44
Mn2 0.0000 0.0000 0.5000  2 Mn 2.25, 6 Os 2.44

***

# Mn2Os

A crystal of Mn2Os relaxed with PBEsol (SCAN, the Alexandria database).

DOS at the Fermi energy (states/eV/f.u.): 2.210
E_form (kJ/mol of atoms): -10.7
SG: Cmcm
Uncorrected energy (eV per cell): -217.45
ρ (g cm⁻³): 14.013

Unit cell a=3.6000 b=3.6308 c=5.7316 alpha=90.00 beta=108.30 gamma=90.00
Closest atoms and distances in Å follow each position.
Positions (direct):
Os1 0.4091 0.7500 0.8183  10 Mn 2.49-2.65, 2 Os 2.68
Os2 0.5909 0.2500 0.1817  10 Mn 2.49-2.65, 2 Os 2.68
Mn1 0.7511 0.7500 0.5022  4 Os 2.49-2.52, 8 Mn 2.52-2.56
Mn2 0.0882 0.7500 0.1765  6 Mn 2.52-2.64, 6 Os 2.56-2.65
Mn3 0.9118 0.2500 0.8235  6 Mn 2.52-2.64, 6 Os 2.56-2.65
Mn4 0.2489 0.2500 0.4978  4 Os 2.49-2.52, 8 Mn 2.52-2.56

***

- What is the uncorrected energy in the second record?
  -126.59 eV per cell

***

- What is the formula in the third record?
  MnOs

***

- What is the uncorrected energy in the second record?
  -126.59 eV per cell